Record 1
The following is a DFT calculation (PBE) of a relaxed LaTa2In crystal.

Summary:
**SG**: P4/mmm (123)
**Calculated formation energy**: 174 kJ/mol of formula units
**Magnetization**: 0.00 μB per cell
**ρ**: 11.52 g/cm3

Structure (extended XYZ):
```
4
Lattice="2.976 0.000 0.000 0.000 2.976 0.000 0.000 0.000 10.017" Properties=species:S:1:pos:R:3 pbc="T T T"
La 0.000 0.000 0.000
Ta 1.488 1.488 2.756
Ta 1.488 1.488 7.261
In 0.000 0.000 5.008
```



Record 2
The following is a DFT calculation (PBE) of a relaxed LaTa2In crystal.

Summary:
**SG**: P2/m (10)
**Calculated formation energy**: 149 kJ/mol of formula units
**Magnetization**: 0.00 μB per cell
**ρ**: 11.63 g/cm3

Structure (extended XYZ):
```
4
Lattice="5.369 0.000 0.000 0.000 3.088 0.000 -2.001 0.000 5.304" Properties=species:S:1:pos:R:3 pbc="T T T"
La 0.000 0.000 0.000
Ta 1.684 0.000 2.652
Ta 2.684 1.544 0.000
In -1.001 1.544 2.652
```



Record 3
The following is a DFT calculation (PBE) of a relaxed LaTa2In crystal.

Summary:
**SG**: C2/m (12)
**Calculated formation energy**: 137 kJ/mol of formula units
**Magnetization**: 0.00 μB per cell
**ρ**: 11.22 g/cm3

Structure (extended XYZ):
```
4
Lattice="5.243 -1.556 0.000 5.243 1.556 0.000 -1.195 0.000 5.585" Properties=species:S:1:pos:R:3 pbc="T T T"
La 0.000 0.000 0.000
Ta 1.657 0.000 3.953
Ta 7.635 0.000 1.632
In 4.646 0.000 2.792
```



Record 4
The following is a DFT calculation (PBE) of a relaxed LaTa2In crystal.

Summary:
**SG**: Pmmm (47)
**Calculated formation energy**: 183 kJ/mol of formula units
**Magnetization**: 0.00 μB per cell
**ρ**: 11.41 g/cm3

Structure (extended XYZ):
```
4
Lattice="3.793 0.000 0.000 0.000 4.718 0.000 0.000 0.000 5.007" Properties=species:S:1:pos:R:3 pbc="T T T"
La 0.000 0.000 0.000
Ta 0.000 2.359 2.503
Ta 1.897 2.359 0.000
In 1.897 0.000 2.503
```



Record 5
The following is a DFT calculation (PBE) of a relaxed LaTaIn crystal.

Summary:
**SG**: Fmm2 (42)
**Calculated formation energy**: 56 kJ/mol of formula units
**Magnetization**: 0.00 μB per cell
**ρ**: 9.93 g/cm3

Structure (extended XYZ):
```
3
Lattice="0.000 2.216 7.412 2.212 0.000 7.412 2.212 2.216 0.000" Properties=species:S:1:pos:R:3 pbc="T T T"
La 0.000 0.000 0.000
Ta 2.212 2.216 4.896
In 2.212 2.216 10.165
```



Record 6
The following is a DFT calculation (PBE) of a relaxed LaTaIn3 crystal.

Summary:
**SG**: Pm-3m (221)
**Calculated formation energy**: 882 kJ/mol of formula units
**Magnetization**: 0.00 μB per cell
**ρ**: 5.80 g/cm3

Structure (extended XYZ):
```
5
Lattice="5.752 0.000 0.000 0.000 5.752 0.000 0.000 0.000 5.752" Properties=species:S:1:pos:R:3 pbc="T T T"
La 0.000 0.000 0.000
Ta 2.876 2.876 2.876
In 0.000 0.000 2.876
In 0.000 2.876 0.000
In 2.876 0.000 0.000
```



Record 7
The following is a DFT calculation (PBE) of a relaxed LaTaIn3 crystal.

Summary:
**SG**: Pm-3m (221)
**Calculated formation energy**: 80 kJ/mol of formula units
**Magnetization**: 0.00 μB per cell
**ρ**: 7.25 g/cm3

Structure (extended XYZ):
```
5
Lattice="5.337 0.000 0.000 0.000 5.337 0.000 0.000 0.000 5.337" Properties=species:S:1:pos:R:3 pbc="T T T"
La 0.000 0.000 0.000
Ta 2.669 2.669 2.669
In 0.000 2.669 2.669
In 2.669 0.000 2.669
In 2.669 2.669 0.000
```



Record 8
The following is a DFT calculation (PBE) of a relaxed LaTa2In crystal.

Summary:
**SG**: Pm (6)
**Calculated formation energy**: 104 kJ/mol of formula units
**Magnetization**: 0.00 μB per cell
**ρ**: 11.13 g/cm3

Structure (extended XYZ):
```
4
Lattice="3.073 0.000 0.000 0.000 4.552 0.000 -1.071 0.000 6.568" Properties=species:S:1:pos:R:3 pbc="T T T"
La 0.000 0.000 0.000
Ta 1.344 2.276 1.706
Ta 2.095 0.000 3.116
In 0.476 2.276 4.523
```